No. 1
{"formula": "KAlCl", "functional": "PBE", "state": "optimized geometry", "lattice": [[0.000, 3.741, 3.741], [3.741, 0.000, 3.741], [3.741, 3.741, 0.000]], "species": ["K", "Al", "Cl"], "frac_coords": [[0.000, 0.000, 0.000], [0.500, 0.500, 0.500], [0.750, 0.750, 0.750]], "dft_energy_ev_per_cell": -7.5, "de_polymorph_mev_per_atom": 156.3, "raw_formation_energy_kj_per_mol_atoms": -26.00}

=====

No. 2
{"formula": "PmBePd2", "functional": "PBE", "state": "optimized geometry", "lattice": [[3.126, 0.000, 0.000], [0.000, 3.126, 0.000], [0.000, 0.000, 6.904]], "species": ["Pm", "Be", "Pd", "Pd"], "frac_coords": [[0.000, 0.000, 0.000], [0.000, 0.000, 0.500], [0.500, 0.500, 0.308], [0.500, 0.500, 0.692]], "dft_energy_ev_per_cell": -20.6, "de_polymorph_mev_per_atom": 255.6}

=====

No. 3
{"formula": "As2OsW", "functional": "PBE", "state": "optimized geometry", "lattice": [[-1.536, 2.131, 4.784], [1.536, -2.131, 4.784], [1.536, 2.131, -4.784]], "species": ["As", "As", "Os", "W"], "frac_coords": [[0.000, 0.000, 0.000], [0.724, 0.224, 0.500], [0.216, 0.716, 0.500], [0.479, 0.479, 0.000]], "dft_energy_ev_per_cell": -31.8, "de_polymorph_mev_per_atom": 331.3}

=====

No. 4
{"formula": "Al2PtCl", "functional": "PBE", "state": "optimized geometry", "lattice": [[-1.814, 1.814, 5.954], [1.814, -1.814, 5.954], [1.814, 1.814, -5.954]], "species": ["Al", "Al", "Pt", "Cl"], "frac_coords": [[0.000, 0.000, 0.000], [0.750, 0.250, 0.500], [0.500, 0.500, 0.000], [0.250, 0.750, 0.500]], "dft_energy_ev_per_cell": -15.9, "de_polymorph_mev_per_atom": 665.5, "raw_formation_energy_kj_per_mol_atoms": -11.78}

=====

No. 5
{"formula": "LiTmAl2", "functional": "PBE", "state": "optimized geometry", "lattice": [[0.000, 3.405, 3.405], [3.405, 0.000, 3.405], [3.405, 3.405, 0.000]], "species": ["Li", "Tm", "Al", "Al"], "frac_coords": [[0.000, 0.000, 0.000], [0.500, 0.500, 0.500], [0.250, 0.250, 0.250], [0.750, 0.750, 0.750]], "dft_energy_ev_per_cell": -14.8, "de_polymorph_mev_per_atom": 28.2}

=====

No. 6
{"formula": "HfPdF2", "functional": "PBE", "state": "optimized geometry", "lattice": [[0.000, 2.985, 2.985], [2.985, 0.000, 2.985], [2.985, 2.985, 0.000]], "species": ["Hf", "Pd", "F", "F"], "frac_coords": [[0.000, 0.000, 0.000], [0.500, 0.500, 0.500], [0.250, 0.250, 0.250], [0.750, 0.750, 0.750]], "dft_energy_ev_per_cell": -23.7, "de_polymorph_mev_per_atom": 525.4, "raw_formation_energy_kj_per_mol_atoms": -116.59}

=====

What did the second record say?
{"formula": "PmBePd2", "functional": "PBE", "state": "optimized geometry", "lattice": [[3.126, 0.000, 0.000], [0.000, 3.126, 0.000], [0.000, 0.000, 6.904]], "species": ["Pm", "Be", "Pd", "Pd"], "frac_coords": [[0.000, 0.000, 0.000], [0.000, 0.000, 0.500], [0.500, 0.500, 0.308], [0.500, 0.500, 0.692]], "dft_energy_ev_per_cell": -20.6, "de_polymorph_mev_per_atom": 255.6}